(1)
VASP calculation (PBE) on an optimized crystal structure of La3TbPb5.

Cell lengths 9.8256, 9.8256, 6.7519 Å; angles 90.00, 90.00, 120.00 degrees
Last column: nearest neighbours and their distance in Å.
Space group P6_3/mcm (No. 193)
One atom of each set of equivalent atoms:
La (0.0000, 0.3823, 0.2500) x6  9 Pb 3.30-3.52
Tb (0.0000, 0.0000, 0.0000) x2  6 Pb 3.24, 2 Tb 3.38
Pb (0.0000, 0.2819, 0.7500) x6  2 Tb 3.24, 5 La 3.30-3.52
Pb (0.3333, 0.6667, 0.0000) x4  2 Pb 3.38, 6 La 3.50

Calculated volume (Å³ per cell): 564.5
Total DFT energy (no corrections) (eV/atom): -4.7544
M_tot (μB/f.u.): 0.0
Energy of formation from the pure elements (eV per atom): -0.537

---

(2)
VASP calculation (PBE) on an optimized crystal structure of La4TbPb5.

Cell lengths 3.6601, 3.6601, 23.1058 Å; angles 90.00, 90.00, 90.00 degrees
Last column: nearest neighbours and their distance in Å.
Space group P4/mmm (No. 123)
One atom of each set of equivalent atoms:
La (0.0000, 0.0000, 0.1016) x2  8 Pb 3.48-3.49, 4 La 3.66
La (0.0000, 0.0000, 0.3034) x2  8 Pb 3.48-3.51, 4 La 3.66
Tb (0.0000, 0.0000, 0.5000) x1  8 Pb 3.38, 4 Tb 3.66
Pb (0.5000, 0.5000, 0.0000) x1  8 La 3.49, 4 Pb 3.66
Pb (0.5000, 0.5000, 0.2026) x2  8 La 3.48, 4 Pb 3.66
Pb (0.5000, 0.5000, 0.4059) x2  4 Tb 3.38, 4 La 3.51, 4 Pb 3.66

Calculated volume (Å³ per cell): 309.5
Total DFT energy (no corrections) (eV/atom): -4.8456
M_tot (μB/f.u.): 0.0
Energy of formation from the pure elements (eV per atom): -0.557

---

(3)
VASP calculation (PBE) on an optimized crystal structure of La2TbPb.

Cell lengths 3.5123, 27.3569, 5.8474 Å; angles 90.00, 90.00, 90.00 degrees
Last column: nearest neighbours and their distance in Å.
Space group Cmcm (No. 63)
One atom of each set of equivalent atoms:
La (0.0000, 0.0907, 0.2500) x4  3 Tb 3.26-3.38, 2 Pb 3.37, 2 La 3.51
La (0.0000, 0.1841, 0.7500) x4  5 Pb 3.28-3.43, 2 La 3.51
Tb (0.0000, 0.0285, 0.7500) x4  3 La 3.26-3.38, 4 Tb 3.31-3.51
Pb (0.0000, 0.3041, 0.7500) x4  7 La 3.28-3.43, 2 Pb 3.51

E above lowest polymorph (meV/atom): 324.7
Calculated volume (Å³ per cell): 561.8
Total DFT energy (no corrections) (eV/atom): -4.5726
M_tot (μB/f.u.): 0.3
Energy of formation from the pure elements (eV per atom): -0.024

---

(4)
VASP calculation (PBE) on an optimized crystal structure of LaTbPb6.

Cell lengths 4.9348, 4.9348, 9.8048 Å; angles 90.00, 90.00, 90.00 degrees
Last column: nearest neighbours and their distance in Å.
Space group P4/mmm (No. 123)
One atom of each set of equivalent atoms:
La (0.0000, 0.0000, 0.0000) x1  12 Pb 3.49-3.52
Tb (0.0000, 0.0000, 0.5000) x1  12 Pb 3.44-3.49
Pb (0.0000, 0.5000, 0.2555) x4  2 Tb 3.44, 8 Pb 3.44-3.52, 2 La 3.52
Pb (0.5000, 0.5000, 0.0000) x1  4 La 3.49, 8 Pb 3.52
Pb (0.5000, 0.5000, 0.5000) x1  8 Pb 3.44, 4 Tb 3.49

Calculated volume (Å³ per cell): 238.8
Total DFT energy (no corrections) (eV/atom): -4.3489
M_tot (μB/f.u.): 0.0
Energy of formation from the pure elements (eV per atom): -0.373

---

(5)
VASP calculation (PBE) on an optimized crystal structure of La2Tb3Pb4.

Cell lengths 7.2412, 17.5540, 9.1197 Å; angles 90.00, 90.00, 90.00 degrees
Last column: nearest neighbours and their distance in Å.
Space group Cmce (No. 64)
One atom of each set of equivalent atoms:
La (0.0000, 0.1112, 0.0884) x8  6 Pb 3.43-3.84
Tb (0.0000, 0.0000, 0.5000) x4  6 Pb 2.96-3.30
Tb (0.2500, 0.2068, 0.7500) x8  5 Pb 3.07-3.34
Pb (0.0000, 0.1859, 0.4450) x8  5 Tb 3.16-3.34, 1 La 3.51
Pb (0.2500, 0.0318, 0.7500) x8  3 Tb 2.96-3.07

E above lowest polymorph (meV/atom): 124.0
Calculated volume (Å³ per cell): 1159.2
Total DFT energy (no corrections) (eV/atom): -4.7892
M_tot (μB/f.u.): 0.0
Energy of formation from the pure elements (eV per atom): -0.503

---

(6)
VASP calculation (PBE) on an optimized crystal structure of LaTbTlPb.

Cell lengths 7.8371, 7.8371, 7.8371 Å; angles 90.00, 90.00, 90.00 degrees
Last column: nearest neighbours and their distance in Å.
Space group F-43m (No. 216)
One atom of each set of equivalent atoms:
La (0.0000, 0.0000, 0.0000) x4  4 Tl 3.39, 4 Pb 3.39
Tb (0.0000, 0.0000, 0.5000) x4  4 Tl 3.39, 4 Pb 3.39
Tl (0.2500, 0.2500, 0.7500) x4  4 Tb 3.39, 4 La 3.39
Pb (0.2500, 0.2500, 0.2500) x4  4 Tb 3.39, 4 La 3.39

E above lowest polymorph (meV/atom): 26.2
Calculated volume (Å³ per cell): 481.4
Total DFT energy (no corrections) (eV/atom): -4.3388
M_tot (μB/f.u.): 0.0
Energy of formation from the pure elements (eV per atom): -0.431